This record from Alexandria describes crystalline ThZrCu at its relaxed geometry. The functional is PBE-GGA.

Computed properties:
* space-group type: No. 51
* V: 411.9 Å³ per cell
* uncorrected energy: -6.7066 eV/atom
* ΔH_f (0 K): -19 meV/atom

a = 4.0213 Å, b = 7.7277 Å, c = 13.2535 Å
α = 90.00°, β = 90.00°, γ = 90.00°
With the nearest neighbours (Å) after each atom.
Positions (direct):
Zr1 0.5000 0.2008 0.7500  4 Cu 2.73-2.86
Zr2 0.5000 0.7992 0.2500  4 Cu 2.73-2.86
Zr3 0.5000 0.4457 0.3793  3 Cu 2.79-3.06
Zr4 0.5000 0.4457 0.1207  3 Cu 2.79-3.06
Zr5 0.5000 0.5543 0.8793  3 Cu 2.79-3.06
Zr6 0.5000 0.5543 0.6207  3 Cu 2.79-3.06
Cu1 0.0000 0.4392 0.7500  6 Zr 2.73-2.79
Cu2 0.0000 0.5608 0.2500  6 Zr 2.73-2.79
Cu3 0.5000 0.9477 0.5925  1 Cu 2.58, 1 Zr 2.86
Cu4 0.5000 0.9477 0.9075  1 Cu 2.58, 1 Zr 2.86
Cu5 0.5000 0.0523 0.4075  1 Cu 2.58, 1 Zr 2.86
Cu6 0.5000 0.0523 0.0925  1 Cu 2.58, 1 Zr 2.86
Th1 0.0000 0.8427 0.7500  5 Cu 3.01-3.12
Th2 0.0000 0.7612 0.0392  5 Cu 3.03-3.19, 4 Zr 3.33-3.34
Th3 0.0000 0.2388 0.9608  5 Cu 3.03-3.19, 4 Zr 3.33-3.34
Th4 0.0000 0.7612 0.4608  5 Cu 3.03-3.19, 4 Zr 3.33-3.34
Th5 0.0000 0.1573 0.2500  5 Cu 3.01-3.12
Th6 0.0000 0.2388 0.5392  5 Cu 3.03-3.19, 4 Zr 3.33-3.34